No. 1
Computed, not measured: an optimized crystal structure of RbPmIr2O8 at the GGA-PBE level of DFT.

Properties
Uncorrected formation energy = -1.1499 eV/atom
Magnetic moment = 2.1 μB per formula unit

a = 6.0457 Å, b = 6.0457 Å, c = 8.1144 Å
α = 90.00°, β = 90.00°, γ = 120.00°
With the nearest neighbours (Å) after each atom.
Atoms (fractional coordinates):
Rb  0.0000  0.0000  0.0000  12 O 3.16-3.49
Pm  0.0000  0.0000  0.5000  6 O 2.31
Ir  0.3333  0.6667  0.7675  4 O 1.78-1.84
Ir  0.6667  0.3333  0.2325  4 O 1.78-1.84
O  0.1677  0.3428  0.6799  1 Ir 1.84
O  0.1751  0.8323  0.6799  1 Ir 1.84
O  0.3333  0.6667  0.9870  1 Ir 1.78
O  0.3428  0.1751  0.3201  1 Ir 1.84
O  0.6572  0.8249  0.6799  1 Ir 1.84
O  0.6667  0.3333  0.0130  1 Ir 1.78
O  0.8249  0.1677  0.3201  1 Ir 1.84
O  0.8323  0.6572  0.3201  1 Ir 1.84

---

No. 2
Computed, not measured: an optimized crystal structure of Rb2PmIrO6 at the GGA-PBE level of DFT.

Properties
Uncorrected formation energy = -1.6396 eV/atom
Magnetic moment = 0.0 μB per formula unit

a = 6.0364 Å, b = 6.0364 Å, c = 6.0364 Å
α = 60.00°, β = 60.00°, γ = 60.00°
With the nearest neighbours (Å) after each atom.
Atoms (fractional coordinates):
Rb  0.2500  0.2500  0.2500  12 O 3.03
Rb  0.7500  0.7500  0.7500  12 O 3.03
Pm  0.0000  0.0000  0.0000  6 O 2.34
Ir  0.5000  0.5000  0.5000  6 O 1.93
O  0.2743  0.2743  0.7257  1 Ir 1.93
O  0.2743  0.7257  0.2743  1 Ir 1.93
O  0.2743  0.7257  0.7257  1 Ir 1.93
O  0.7257  0.2743  0.2743  1 Ir 1.93
O  0.7257  0.2743  0.7257  1 Ir 1.93
O  0.7257  0.7257  0.2743  1 Ir 1.93

---

Which formula does entry 1 have?
RbPmIr2O8